*P*
A geometry-optimized Er4Th structure. Source: Alexandria, functional GGA-PBE.

Summary:
Symmetry   P2/c, No. 13

```
10
Lattice="6.286 0.000 0.000 0.000 9.392 0.000 -2.452 0.000 5.408" Properties=species:S:1:pos:R:3 pbc="T T T"
Er 0.979 1.804 0.375
Er -0.247 7.588 3.079
Er 0.240 4.026 2.808
Er 1.466 5.366 0.104
Er 2.367 4.026 5.304
Er 3.594 5.366 2.600
Er 4.081 1.804 2.329
Er 2.855 7.588 5.034
Th 1.304 0.969 4.056
Th 2.530 8.423 1.352
```

***

*Q*
A geometry-optimized Er4Th structure. Source: Alexandria, functional GGA-PBE.

Summary:
Symmetry   Cmmm, No. 65

```
5
Lattice="2.666 -8.325 0.000 2.666 8.325 0.000 0.000 0.000 3.479" Properties=species:S:1:pos:R:3 pbc="T T T"
Er 2.666 6.530 0.000
Er 2.666 3.320 1.739
Er 2.666 -3.320 1.739
Er 2.666 -6.530 0.000
Th 2.666 0.000 1.739
```

***

*R*
A geometry-optimized Er4Th structure. Source: Alexandria, functional GGA-PBE.

Summary:
Symmetry   Pm-3m, No. 221

```
5
Lattice="5.745 0.000 0.000 0.000 5.745 0.000 0.000 0.000 5.745" Properties=species:S:1:pos:R:3 pbc="T T T"
Er 0.000 0.000 0.000
Er 0.000 2.873 2.873
Er 2.873 0.000 2.873
Er 2.873 2.873 0.000
Th 2.873 2.873 2.873
```

***

*Q* is favored, and the nearest alternative lies 0.157 eV/atom above it.

***

*P*
A geometry-optimized ErThTi structure. Source: Alexandria, functional GGA-PBE.

Summary:
Symmetry   P4/nmm, No. 129

```
6
Lattice="3.544 0.000 0.000 0.000 3.544 0.000 0.000 0.000 12.601" Properties=species:S:1:pos:R:3 pbc="T T T"
Er 0.886 0.886 1.316
Er 2.658 2.658 11.285
Th 0.886 0.886 8.926
Th 2.658 2.658 3.675
Ti 0.886 0.886 5.605
Ti 2.658 2.658 6.996
```

***

*Q*
A geometry-optimized ErThTi structure. Source: Alexandria, functional GGA-PBE.

Summary:
Symmetry   P-6m2, No. 187

```
3
Lattice="5.219 0.000 0.000 -2.609 4.520 0.000 0.000 0.000 3.398" Properties=species:S:1:pos:R:3 pbc="T T T"
Er 0.000 0.000 0.000
Th 0.000 3.013 1.699
Ti 2.609 1.507 0.000
```

***

*P* is favored, and the nearest alternative lies 0.103 eV/atom above it.

***

*P*
A geometry-optimized ErTh2Ti structure. Source: Alexandria, functional GGA-PBE.

Summary:
Symmetry   R-3m, No. 166

```
4
Lattice="1.677 0.968 11.750 -1.677 0.968 11.750 0.000 -1.936 11.750" Properties=species:S:1:pos:R:3 pbc="T T T"
Er 0.000 0.000 0.000
Th 0.000 0.000 14.768
Th 0.000 0.000 20.483
Ti 0.000 0.000 17.625
```

***

*Q*
A geometry-optimized ErTh2Ti structure. Source: Alexandria, functional GGA-PBE.

Summary:
Symmetry   P4/mmm, No. 123

```
4
Lattice="4.892 0.000 0.000 0.000 4.892 0.000 0.000 0.000 4.681" Properties=species:S:1:pos:R:3 pbc="T T T"
Er 0.000 0.000 0.000
Th 0.000 2.446 2.340
Th 2.446 0.000 2.340
Ti 2.446 2.446 0.000
```

***

*R*
A geometry-optimized ErTh2Ti structure. Source: Alexandria, functional GGA-PBE.

Summary:
Symmetry   R3m, No. 160

```
4
Lattice="1.727 0.997 10.829 -1.727 0.997 10.829 0.000 -1.994 10.829" Properties=species:S:1:pos:R:3 pbc="T T T"
Er 0.000 0.000 0.000
Th 0.000 0.000 18.823
Th 0.000 0.000 24.636
Ti 0.000 0.000 5.546
```

***

*Q* is favored, and the nearest alternative lies 0.018 eV/atom above it.

***

*P*
A geometry-optimized ErTh2Ti structure. Source: Alexandria, functional GGA-PBE.

Summary:
Symmetry   Fm-3m, No. 225

```
4
Lattice="0.000 3.813 3.813 3.813 0.000 3.813 3.813 3.813 0.000" Properties=species:S:1:pos:R:3 pbc="T T T"
Er 0.000 0.000 0.000
Th 1.906 1.906 1.906
Th 5.719 5.719 5.719
Ti 3.813 3.813 3.813
```

***

*Q*
A geometry-optimized ErTh2Ti structure. Source: Alexandria, functional GGA-PBE.

Summary:
Symmetry   P4/mmm, No. 123

```
4
Lattice="3.601 0.000 0.000 0.000 3.601 0.000 0.000 0.000 8.639" Properties=species:S:1:pos:R:3 pbc="T T T"
Er 0.000 0.000 0.000
Th 1.801 1.801 2.415
Th 1.801 1.801 6.224
Ti 0.000 0.000 4.320
```

***

*Q* is favored, and the nearest alternative lies 0.084 eV/atom above it.